Record 1
# TmGaIrRh PBE-GGA relaxed
# Formation energy from the elements, eV/atom: -0.79
# Total magnetic moment, μB per cell: 0.00
# Raw total energy, eV/cell: -26.85
data_TmGaIrRh
_space_group_name_H-M_alt 'P m m m'
_space_group_IT_number 47
_space_group_name_Hall '-P 2 2'
_cell_length_a 3.5414
_cell_length_b 4.2622
_cell_length_c 4.3716
_cell_angle_alpha 90.00
_cell_angle_beta 90.00
_cell_angle_gamma 90.00
loop_
_atom_site_label
_atom_site_type_symbol
_atom_site_fract_x
_atom_site_fract_y
_atom_site_fract_z
Tm1 Tm 0.0000 0.0000 0.0000
Ga1 Ga 0.0000 0.5000 0.5000
Ir1 Ir 0.5000 0.0000 0.5000
Rh1 Rh 0.5000 0.5000 0.0000


Record 2
# TlPSe3 PBE-GGA relaxed
# Total magnetic moment, μB per cell: 0.00
# Raw total energy, eV/cell: -75.91
data_TlPSe3
_space_group_name_H-M_alt 'P 1 21/c 1'
_space_group_IT_number 14
_space_group_name_Hall '-P 2ybc'
_cell_length_a 7.1077
_cell_length_b 7.2954
_cell_length_c 12.6843
_cell_angle_alpha 90.00
_cell_angle_beta 121.12
_cell_angle_gamma 90.00
loop_
_atom_site_label
_atom_site_type_symbol
_atom_site_fract_x
_atom_site_fract_y
_atom_site_fract_z
Tl1 Tl 0.2481 0.1644 0.1904
P1 P 0.3781 0.6280 0.4531
Se1 Se 0.1277 0.5465 0.2654
Se2 Se 0.2506 0.7191 0.5707
Se3 Se 0.4209 0.1267 0.5456